Pm3Sm4Ho4 | PBE-GGA | relaxed

abc: 10.9968 10.9968 10.9968
angles: 161.41 117.95 65.38
Last column: nearest neighbours and their distance in Å.
Sites, in units of the cell vectors:
Pm (0.0000, 0.0000, 0.0000)  2 Pm 3.55, 6 Sm 3.71-3.96
Pm (0.3912, 0.8912, 0.5000)  2 Pm 3.55, 4 Ho 3.57, 6 Sm 3.61-3.73
Pm (0.6088, 0.1088, 0.5000)  2 Pm 3.55, 4 Ho 3.57, 6 Sm 3.61-3.73
Sm (0.2141, 0.2141, 0.0000)  6 Ho 3.41-3.55, 2 Sm 3.55, 2 Pm 3.73
Sm (0.2871, 0.5000, 0.7871)  2 Ho 3.22, 2 Sm 3.55
Sm (0.7129, 0.5000, 0.2129)  2 Ho 3.22, 2 Sm 3.55
Sm (0.7859, 0.7859, 0.0000)  6 Ho 3.41-3.55, 2 Sm 3.55, 2 Pm 3.73
Ho (0.0750, 0.3276, 0.7474)  4 Sm 3.22-3.55, 4 Ho 3.38-3.55, 2 Pm 3.57
Ho (0.4198, 0.6724, 0.7474)  4 Sm 3.22-3.55, 4 Ho 3.38-3.55, 2 Pm 3.57
Ho (0.5802, 0.3276, 0.2526)  4 Sm 3.22-3.55, 4 Ho 3.38-3.55, 2 Pm 3.57
Ho (0.9250, 0.6724, 0.2526)  4 Sm 3.22-3.55, 4 Ho 3.38-3.55, 2 Pm 3.57

Summary:
* energy relative to the lowest polymorph listed for this composition: 13 meV/atom
* space group: Immm
* DFT formation energy: 166.1 meV per atom


Al2TcAs | PBE-GGA | relaxed

abc: 2.9123 2.9123 7.7926
angles: 90.00 90.00 90.00
Last column: nearest neighbours and their distance in Å.
Sites, in units of the cell vectors:
Al (0.0000, 0.0000, 0.2068)  4 Tc 2.61, 4 Al 2.91
Al (0.0000, 0.0000, 0.7932)  4 Tc 2.61, 4 Al 2.91
Tc (0.5000, 0.5000, 0.0000)  8 Al 2.61, 4 Tc 2.91
As (0.5000, 0.5000, 0.5000)  4 As 2.91, 8 Al 3.08

Summary:
* space group: P4/mmm
* DFT formation energy: -33.5 meV per atom


Mg2Sn | PBE-GGA | relaxed

abc: 5.5108 5.5108 6.6434
angles: 120.63 120.63 59.91
Last column: nearest neighbours and their distance in Å.
Sites, in units of the cell vectors:
Mg (0.0728, 0.2655, 0.2519)  5 Sn 3.14-3.23, 7 Mg 3.16-3.49
Mg (0.2655, 0.0728, 0.7519)  5 Sn 3.14-3.23, 7 Mg 3.16-3.49
Mg (0.7345, 0.9272, 0.2481)  5 Sn 3.14-3.23, 7 Mg 3.16-3.49
Mg (0.9272, 0.7345, 0.7481)  5 Sn 3.14-3.23, 7 Mg 3.16-3.49
Sn (0.3950, 0.6050, 0.2500)  10 Mg 3.14-3.23, 2 Sn 3.52
Sn (0.6050, 0.3950, 0.7500)  10 Mg 3.14-3.23, 2 Sn 3.52

Summary:
* space group: C2/c
* DFT formation energy: -104.9 meV per atom


MgMn2Sb | PBE-GGA | relaxed

abc: 5.9968 5.9968 5.9968
angles: 102.86 102.86 123.71
Last column: nearest neighbours and their distance in Å.
Sites, in units of the cell vectors:
Mg (0.0000, 0.0000, 0.0000)  4 Mn 2.79, 2 Sb 2.83
Mg (0.7500, 0.2500, 0.5000)  4 Mn 2.79, 2 Sb 2.83
Mn (0.1351, 0.1250, 0.5101)  2 Sb 2.69, 2 Mg 2.79, 2 Mn 2.83
Mn (0.3750, 0.8649, 0.9899)  2 Sb 2.69, 2 Mg 2.79, 2 Mn 2.83
Mn (0.6149, 0.6250, 0.4899)  2 Sb 2.69, 2 Mg 2.79, 2 Mn 2.83
Mn (0.8750, 0.3851, 0.0101)  2 Sb 2.69, 2 Mg 2.79, 2 Mn 2.83
Sb (0.2500, 0.7500, 0.5000)  4 Mn 2.69, 2 Mg 2.83
Sb (0.5000, 0.5000, 0.0000)  4 Mn 2.69, 2 Mg 2.83

Summary:
* ΔE_f (raw): 0.47 eV per atom
* space group: I-42d


What is the formula in the third record?
Mg2Sn